Material: LaCo
Method: DFT, PBE
State: optimized geometry

Calculated values
M_tot, μB/atom: 0.02
DFT formation energy, meV/atom: 693
VASP energy, eV/atom: -5.324

Lattice parameters (Å, degrees): 7.389 7.389 7.389 90.00 90.00 90.00
Fractional positions:
La: 0.000 0.250 0.500
La: 0.000 0.750 0.500
La: 0.250 0.500 0.000
La: 0.500 0.000 0.250
La: 0.500 0.000 0.750
La: 0.750 0.500 0.000
Co: 0.000 0.500 0.250
Co: 0.000 0.500 0.750
Co: 0.250 0.000 0.500
Co: 0.500 0.250 0.000
Co: 0.500 0.750 0.000
Co: 0.750 0.000 0.500